First-principles (PBE) data for a geometry-optimized Tc2HgIr structure, as listed in the Alexandria database. Values from VASP.

```
&SYSTEM
  ibrav = 0, nat = 4, ntyp = 3
/
ATOMIC_SPECIES
Tc 98.00 Tc.upf
Hg 200.59 Hg.upf
Ir 192.22 Ir.upf
CELL_PARAMETERS angstrom
2.831 0.000 0.000
0.000 2.831 0.000
0.000 0.000 8.001
ATOMIC_POSITIONS crystal
Tc 0.500 0.500 0.223
Tc 0.000 0.000 0.000
Hg 0.000 0.000 0.501
Ir 0.500 0.500 0.776
```

Output
Space-group type   P4mm (99)
Total energy   -7.2310 eV per atom